[1]
The following is a PBE-GGA calculation of an optimized crystal structure of Dy2YO, from Alexandria.

ρ = 8018 kg/m³
Symmetry = P4/mmm, No. 123
Final energy = -5.98 eV/atom
Spin magnetization = 0.0 μB/cell
Formation energy (no corrections) = -0.82 eV per atom

a b c (Å): 3.198 3.198 8.708
angles (deg): 90.00 90.00 90.00
Fractional coordinates of all 4 atoms:
Dy 0.000 0.000 0.175
Dy 0.000 0.000 0.825
Y 0.500 0.500 0.500
O 0.500 0.500 0.000



[2]
The following is a PBE-GGA calculation of an optimized crystal structure of Ce2HfZr, from Alexandria.

ρ = 9103 kg/m³
Symmetry = P4/mmm, No. 123
Final energy = -7.47 eV/atom
Spin magnetization = 0.0 μB/cell
ΔE_f = 125 meV/atom

a b c (Å): 3.159 3.159 10.053
angles (deg): 90.00 90.00 90.00
Fractional coordinates of all 4 atoms:
Hf 0.500 0.500 0.000
Zr 0.500 0.500 0.500
Ce 0.000 0.000 0.753
Ce 0.000 0.000 0.247



[3]
The following is a PBE-GGA calculation of an optimized crystal structure of Nd3SnAu4, from Alexandria.

ρ = 10347 kg/m³
Symmetry = Immm, No. 71
Final energy = -4.58 eV/atom
Spin magnetization = 0.0 μB/cell
ΔE_f = -656 meV/atom

a b c (Å): 3.945 7.390 8.479
angles (deg): 115.83 103.45 90.00
Fractional coordinates of all 8 atoms:
Au 0.366 0.560 0.732
Nd 0.000 0.500 0.000
Nd 0.817 0.817 0.633
Au 0.634 0.827 0.268
Au 0.366 0.173 0.732
Sn 0.500 0.000 0.000
Au 0.634 0.440 0.268
Nd 0.183 0.183 0.367



[4]
The following is a PBE-GGA calculation of an optimized crystal structure of Re2MoRu2, from Alexandria.

ρ = 14539 kg/m³
Symmetry = P4/mbm, No. 127
Final energy = -10.64 eV/atom
Spin magnetization = 0.0 μB/cell
ΔE_f = 214 meV/atom

a b c (Å): 7.463 7.463 2.750
angles (deg): 90.00 90.00 90.00
Fractional coordinates of all 10 atoms:
Mo 0.500 0.500 0.000
Re 0.329 0.171 0.500
Ru 0.375 0.875 0.000
Re 0.171 0.671 0.500
Re 0.829 0.329 0.500
Ru 0.125 0.375 0.000
Ru 0.625 0.125 0.000
Mo 0.000 0.000 0.000
Ru 0.875 0.625 0.000
Re 0.671 0.829 0.500



[5]
The following is a PBE-GGA calculation of an optimized crystal structure of CaScOs2, from Alexandria.

ρ = 9904 kg/m³
Symmetry = C2/m, No. 12
Final energy = -7.37 eV/atom
Spin magnetization = 0.0 μB/cell
ΔE_f = 332 meV/atom

a b c (Å): 4.612 4.612 6.036
angles (deg): 82.87 82.87 37.81
Fractional coordinates of all 4 atoms:
Sc 0.750 0.750 0.750
Ca 0.250 0.250 0.250
Os 0.492 0.492 0.563
Os 0.008 0.008 0.937



[6]
The following is a PBE-GGA calculation of an optimized crystal structure of AgRh2W2, from Alexandria.

ρ = 13934 kg/m³
Symmetry = P4/mbm, No. 127
Final energy = -8.53 eV/atom
Spin magnetization = 0.0 μB/cell
ΔE_f = 159 meV/atom

a b c (Å): 7.650 7.650 2.775
angles (deg): 90.00 90.00 90.00
Fractional coordinates of all 10 atoms:
Rh 0.628 0.128 0.000
Rh 0.872 0.628 0.000
W 0.665 0.835 0.500
W 0.335 0.165 0.500
Rh 0.372 0.872 0.000
Ag 0.000 0.000 0.000
W 0.165 0.665 0.500
Ag 0.500 0.500 0.000
W 0.835 0.335 0.500
Rh 0.128 0.372 0.000